i.
Cs2GaHgBi: relaxed, GGA-PBE.

```
Cs2GaHgBi
1.0
-2.2474 1.2165 -3.9607
6.8149 -6.1415 -5.7533
-9.4966 -4.2724 4.0764
Bi Ga Cs Hg
2 2 4 2
Direct
0.2500 0.5812 0.2910
0.7500 0.4188 0.7090
0.2500 0.5914 0.7926
0.7500 0.4086 0.2074
0.2500 0.2530 0.8804
0.7500 0.7504 0.6265
0.7500 0.7470 0.1196
0.2500 0.2496 0.3735
0.2500 0.9010 0.9506
0.7500 0.0990 0.0494
```

As for the space group: P2_1/m.


ii.
Cs2GaHgBi: relaxed, GGA-PBE.

```
Cs2GaHgBi
1.0
-0.2868 0.9023 -7.0951
0.2535 -7.0950 -0.9126
-5.5456 -0.2233 0.1958
Cs Hg Bi Ga
2 1 1 1
Direct
0.5000 0.0000 0.0000
0.0000 0.5000 0.0000
0.5000 0.5000 0.5000
0.0000 0.0000 0.5000
0.0000 0.0000 0.0000
```

As for the space group: P4/mmm.


Most stable of them? i.


i.
Cs2Ge2Bi: relaxed, GGA-PBE.

```
Cs2Ge2Bi
1.0
11.0394 0.0000 0.0000
0.0000 11.0394 0.0000
0.0000 0.0000 3.4131
Ge Cs Bi
4 4 2
Direct
0.4247 0.9247 0.0000
0.9247 0.5753 0.0000
0.5753 0.0753 0.0000
0.0753 0.4247 0.0000
0.7837 0.2837 0.5000
0.2163 0.7163 0.5000
0.7163 0.7837 0.5000
0.2837 0.2163 0.5000
0.5000 0.5000 0.0000
0.0000 0.0000 0.0000
```

As for the space group: P4/mbm.


ii.
Cs2Ge2Bi: relaxed, GGA-PBE.

```
Cs2Ge2Bi
1.0
8.2424 0.0000 -0.1101
4.1212 7.4280 -0.0550
3.3898 0.0000 7.8981
Cs Ge Bi
4 4 2
Direct
0.4390 0.7210 0.2799
0.5610 0.2790 0.7201
0.1600 0.2790 0.2799
0.8400 0.7210 0.7201
0.2909 0.0000 0.8987
0.7091 0.0000 0.1013
0.1528 0.0000 0.6937
0.8472 0.0000 0.3063
0.8731 0.2539 0.0000
0.1269 0.7461 0.0000
```

As for the space group: C2/m.


Most stable of them? ii.